# Li5BiAu6

A geometry-optimized Li5BiAu6 structure (PBE, Alexandria via LeMat-Bulk).

a = 7.871 Å, b = 7.871 Å, c = 4.537 Å
α = 106.67°, β = 106.67°, γ = 50.34°
Fractional positions:
Li1 0.000 0.000 0.000
Li2 0.173 0.173 0.674
Li3 0.343 0.343 0.341
Li4 0.657 0.657 0.659
Li5 0.827 0.827 0.326
Bi1 0.500 0.500 0.000
Au1 0.048 0.595 0.820
Au2 0.211 0.789 0.500
Au3 0.405 0.952 0.180
Au4 0.595 0.048 0.820
Au5 0.789 0.211 0.500
Au6 0.952 0.405 0.180

Magnetization, μB/cell: 0.00
Energy above the most stable polymorph in this dataset, meV per atom: 0.0
Formation energy from the elements, eV per atom: -0.46